Material: RbCa2BePd
Method: DFT, PBE-GGA
State: optimized geometry

Computed properties:
Its symmetry is No. 123. For the formation energy from the elements, the calculation gives 439 meV/atom.

```
data_RbCa2BePd
_symmetry_space_group_name_H-M 'P 1'
_symmetry_Int_Tables_number 1
_cell_length_a 5.5517
_cell_length_b 6.2849
_cell_length_c 5.5517
_cell_angle_alpha 90.00
_cell_angle_beta 90.00
_cell_angle_gamma 90.00
loop_
_symmetry_equiv_pos_as_xyz
'x,y,z'
loop_
_atom_site_label
_atom_site_fract_x
_atom_site_fract_y
_atom_site_fract_z
_atom_site_occupancy
Rb1 0.0000 0.5000 0.0000 1
Ca1 0.5000 0.0000 0.0000 1
Ca2 0.0000 0.0000 0.5000 1
Pd1 0.0000 0.0000 0.0000 1
Be1 0.5000 0.5000 0.5000 1
```